Entry from Alexandria: an optimized crystal structure of Na2TlRu (GGA-PBE).

Offset from the most stable computed form = 0 meV per atom
Energy of formation = 0.698 eV/atom
E = -2.87 eV per atom
Crystal system = tetragonal

```
data_Na2TlRu
_cell_length_a 8.327
_cell_length_b 8.327
_cell_length_c 5.482
_cell_angle_alpha 90.00
_cell_angle_beta 90.00
_cell_angle_gamma 90.00
_symmetry_space_group_name_H-M 'I -4 2 d'
_symmetry_Int_Tables_number 122
_symmetry_space_group_name_Hall 'I -4 2bw'
loop_
_atom_site_label
_atom_site_type_symbol
_atom_site_fract_x
_atom_site_fract_y
_atom_site_fract_z
Na1 Na 0.229 0.250 0.125
Tl1 Tl 0.000 0.000 0.500
Ru1 Ru 0.000 0.000 0.000
```